Entry 1:
Here is a geometry-optimized RbFeGeS3 structure from OQMD via LeMat-Bulk. Energies are from PBE.

The structure belongs to space group P2_1/m (No. 11); the cell edges are 8.1322, 3.4082 and 10.5978 Å and the angles 90.00°, 106.21° and 90.00°. The asymmetric unit holds Rb at (0.0497, 0.2500, 0.2507), Fe at (0.4734, 0.7500, 0.8914), Ge at (0.4116, 0.2500, 0.5639), S at (0.2103, 0.7500, 0.5526), S at (0.2920, 0.2500, 0.9231) and S at (0.4125, 0.7500, 0.2221).

The energy above the most stable polymorph in this dataset is 0.000 eV/f.u. The uncorrected energy comes out at -4.92 eV per atom.



Entry 2:
Here is a geometry-optimized BaBeInAu structure from OQMD via LeMat-Bulk. Energies are from PBE.

The structure belongs to space group F-43m (No. 216); the cell edges are 7.4204, 7.4204 and 7.4204 Å and the angles 90.00°, 90.00° and 90.00°. The asymmetric unit holds Ba at (0.0000, 0.0000, 0.0000), Be at (0.0000, 0.0000, 0.5000), In at (0.2500, 0.2500, 0.7500) and Au at (0.2500, 0.2500, 0.2500).

The energy above the most stable polymorph in this dataset is 0.528 eV/f.u. The uncorrected energy comes out at -2.71 eV per atom.



Entry 3:
Here is a geometry-optimized ZnCuIrPb structure from OQMD via LeMat-Bulk. Energies are from PBE.

The structure belongs to space group F-43m (No. 216); the cell edges are 6.4398, 6.4398 and 6.4398 Å and the angles 90.00°, 90.00° and 90.00°. The asymmetric unit holds Zn at (0.0000, 0.0000, 0.0000), Cu at (0.2500, 0.2500, 0.7500), Ir at (0.2500, 0.2500, 0.2500) and Pb at (0.0000, 0.0000, 0.5000).

The energy above the most stable polymorph in this dataset is 0.000 eV/f.u. The uncorrected energy comes out at -4.14 eV per atom.



Entry 4:
Here is a geometry-optimized MgScFeGe structure from OQMD via LeMat-Bulk. Energies are from PBE.

The structure belongs to space group F-43m (No. 216); the cell edges are 6.2780, 6.2780 and 6.2780 Å and the angles 90.00°, 90.00° and 90.00°. The asymmetric unit holds Mg at (0.0000, 0.0000, 0.0000), Sc at (0.2500, 0.2500, 0.7500), Fe at (0.2500, 0.2500, 0.2500) and Ge at (0.0000, 0.0000, 0.5000).

The energy above the most stable polymorph in this dataset is 0.166 eV/f.u. The uncorrected energy comes out at -5.29 eV per atom.



Entry 5:
Here is a geometry-optimized YLuCuBi structure from OQMD via LeMat-Bulk. Energies are from PBE.

The structure belongs to space group F-43m (No. 216); the cell edges are 7.4157, 7.4157 and 7.4157 Å and the angles 90.00°, 90.00° and 90.00°. The asymmetric unit holds Y at (0.0000, 0.0000, 0.0000), Lu at (0.2500, 0.2500, 0.7500), Cu at (0.0000, 0.0000, 0.5000) and Bi at (0.2500, 0.2500, 0.2500).

The energy above the most stable polymorph in this dataset is 0.000 eV/f.u. The uncorrected energy comes out at -4.54 eV per atom.



Entry 6:
Here is a geometry-optimized PaTaPt structure from OQMD via LeMat-Bulk. Energies are from PBE.

The structure belongs to space group F-43m (No. 216); the cell edges are 6.5576, 6.5576 and 6.5576 Å and the angles 90.00°, 90.00° and 90.00°. The asymmetric unit holds Pa at (0.0000, 0.0000, 0.0000), Ta at (0.0000, 0.0000, 0.5000) and Pt at (0.2500, 0.2500, 0.2500).

The formation energy comes out at 0.109 eV/atom. The energy above the most stable polymorph in this dataset is 0.000 eV/f.u. The uncorrected energy comes out at -9.03 eV per atom.



Entry 7:
Here is a geometry-optimized YNiHgAs structure from OQMD via LeMat-Bulk. Energies are from PBE.

The structure belongs to space group F-43m (No. 216); the cell edges are 6.8395, 6.8395 and 6.8395 Å and the angles 90.00°, 90.00° and 90.00°. The asymmetric unit holds Y at (0.0000, 0.0000, 0.0000), Ni at (0.2500, 0.2500, 0.7500), Hg at (0.2500, 0.2500, 0.2500) and As at (0.0000, 0.0000, 0.5000).

The uncorrected energy comes out at -4.43 eV per atom.



Entry 8:
Here is a geometry-optimized HoWAu structure from OQMD via LeMat-Bulk. Energies are from PBE.

The structure belongs to space group F-43m (No. 216); the cell edges are 6.6337, 6.6337 and 6.6337 Å and the angles 90.00°, 90.00° and 90.00°. The asymmetric unit holds Ho at (0.0000, 0.0000, 0.0000), W at (0.2500, 0.2500, 0.7500) and Au at (0.2500, 0.2500, 0.2500).

The formation energy comes out at 1.189 eV/atom. The uncorrected energy comes out at -5.75 eV per atom.